Entry 1:
Here is an optimized crystal structure of BeTc2Mo from Alexandria. Energies are from GGA-PBE.

a = 8.3829 Å, b = 8.3829 Å, c = 8.3829 Å
α = 19.06°, β = 19.06°, γ = 19.06°
With the nearest neighbours (Å) after each atom.
Atoms (fractional coordinates):
Be (0.0000, 0.0000, 0.0000)  6 Tc 2.47
Tc (0.2571, 0.2571, 0.2571)  3 Be 2.47, 3 Mo 2.75
Tc (0.7429, 0.7429, 0.7429)  3 Be 2.47, 3 Mo 2.75
Mo (0.5000, 0.5000, 0.5000)  6 Tc 2.75, 6 Mo 2.78

## Properties
**SG**: R-3m
**D(E_F)**: 3.39 states/eV per cell
**ρ**: 9.10 g/cm³
**Spin magnetization**: 0.000 μB/cell
**Calculated total energy**: -8.66 eV/atom
**Formation enthalpy at 0 K**: 0.166 eV per atom
**Calculated volume**: 55 Å³/f.u.

---

Entry 2:
Here is an optimized crystal structure of Mg8In6Cu from Alexandria. Energies are from GGA-PBE.

a = 7.9228 Å, b = 7.9228 Å, c = 7.9228 Å
α = 62.63°, β = 62.63°, γ = 62.63°
With the nearest neighbours (Å) after each atom.
Atoms (fractional coordinates):
Mg (0.0055, 0.7395, 0.4023)  4 In 2.97-3.05, 2 Mg 3.32
Mg (0.1666, 0.1666, 0.1666)  6 In 3.03-3.15, 3 Mg 3.35
Mg (0.2605, 0.5977, 0.9945)  4 In 2.97-3.05, 2 Mg 3.32
Mg (0.4023, 0.0055, 0.7395)  4 In 2.97-3.05, 2 Mg 3.32
Mg (0.5977, 0.9945, 0.2605)  4 In 2.97-3.05, 2 Mg 3.32
Mg (0.7395, 0.4023, 0.0055)  4 In 2.97-3.05, 2 Mg 3.32
Mg (0.8334, 0.8334, 0.8334)  6 In 3.03-3.15, 3 Mg 3.35
Mg (0.9945, 0.2605, 0.5977)  4 In 2.97-3.05, 2 Mg 3.32
In (0.1469, 0.4316, 0.7485)  1 Cu 2.71, 4 Mg 2.97-3.03
In (0.2515, 0.8531, 0.5684)  1 Cu 2.71, 4 Mg 2.97-3.03
In (0.4316, 0.7485, 0.1469)  1 Cu 2.71, 4 Mg 2.97-3.03
In (0.5684, 0.2515, 0.8531)  1 Cu 2.71, 4 Mg 2.97-3.03
In (0.7485, 0.1469, 0.4316)  1 Cu 2.71, 4 Mg 2.97-3.03
In (0.8531, 0.5684, 0.2515)  1 Cu 2.71, 4 Mg 2.97-3.03
Cu (0.5000, 0.5000, 0.5000)  6 In 2.71

## Properties
**SG**: R-3
**D(E_F)**: 6.86 states/eV per cell
**ρ**: 4.22 g/cm³
**Spin magnetization**: 0.000 μB/cell
**Calculated total energy**: -2.18 eV/atom
**Formation enthalpy at 0 K**: 0.037 eV per atom
**Calculated volume**: 372 Å³/f.u.